Entry from Alexandria: a geometry-optimized LiPPb2F structure (GGA-PBE).

Unit cell a=5.018 b=4.738 c=5.018 alpha=90.00 beta=90.00 gamma=90.00
Sites, in units of the cell vectors:
P: 0.000 0.500 0.000
Pb: 0.000 0.000 0.500
F: 0.000 0.000 0.000
Pb: 0.500 0.000 0.000
Li: 0.500 0.500 0.500

- Magnetization: 0.000 μB/f.u.
- Total energy: -3.541 eV/atom
- E_form (uncorrected): -0.22 eV per atom